TlNiPbF6 (GGA+U, optimized geometry); E_tot = -4.240 eV/atom; M_tot = 1.70 μB per formula unit; N(E_F) = 3.778 states/eV/f.u.
1.0
5.8221 0.0000 0.0000
-2.9111 5.0421 0.0000
0.0000 0.0000 4.3854
Tl Ni Pb F
1 1 1 6
Direct
0.0000 0.0000 0.0000
0.3333 0.6667 0.1816
0.6667 0.3333 0.5193
0.0901 0.3280 0.4142
0.2380 0.9099 0.4142
0.4221 0.4137 0.9503
0.5863 0.0084 0.9503
0.6720 0.7620 0.4142
0.9916 0.5779 0.9503